Entry 1:
Entry from the Alexandria database: a geometry-optimized TbCe2Cd2Hg2 structure (PBE).

Cell lengths 9.128, 9.128, 9.128 Å; angles 30.96, 30.96, 30.96 degrees
Sites, in units of the cell vectors:
1 Tb 0.000 0.000 0.000
2 Ce 0.138 0.138 0.138
3 Ce 0.862 0.862 0.862
4 Cd 0.268 0.268 0.268
5 Cd 0.732 0.732 0.732
6 Hg 0.401 0.401 0.401
7 Hg 0.599 0.599 0.599

## Properties
final energy: -2.89 eV per atom
total moment: 2.0 μB/cell
energy of formation: -0.1890 eV per atom
crystal system: trigonal



Entry 2:
Entry from the Alexandria database: a geometry-optimized Pm2InPdO6 structure (PBE).

Cell lengths 5.570, 6.101, 9.643 Å; angles 90.00, 124.70, 90.00 degrees
Sites, in units of the cell vectors:
1 Pm 0.228 0.079 0.253
2 Pm 0.228 0.421 0.753
3 Pm 0.772 0.579 0.247
4 Pm 0.772 0.921 0.747
5 In 0.500 0.000 0.000
6 In 0.500 0.500 0.500
7 Pd 0.000 0.000 0.500
8 Pd 0.000 0.500 0.000
9 O 0.123 0.180 0.932
10 O 0.123 0.320 0.432
11 O 0.252 0.683 0.943
12 O 0.252 0.817 0.443
13 O 0.371 0.052 0.741
14 O 0.371 0.448 0.241
15 O 0.629 0.552 0.759
16 O 0.629 0.948 0.259
17 O 0.748 0.183 0.557
18 O 0.748 0.317 0.057
19 O 0.877 0.680 0.568
20 O 0.877 0.820 0.068

## Properties
final energy: -6.86 eV per atom
total moment: 2.0 μB/cell
crystal system: monoclinic
raw formation energy: -2.1416 eV per atom



Entry 3:
Entry from the Alexandria database: a geometry-optimized FeNiRhAu structure (PBE).

Cell lengths 6.078, 6.078, 6.078 Å; angles 90.00, 90.00, 90.00 degrees
Sites, in units of the cell vectors:
1 Fe 0.000 0.000 0.000
2 Fe 0.000 0.500 0.500
3 Fe 0.500 0.000 0.500
4 Fe 0.500 0.500 0.000
5 Ni 0.000 0.000 0.500
6 Ni 0.000 0.500 0.000
7 Ni 0.500 0.000 0.000
8 Ni 0.500 0.500 0.500
9 Rh 0.250 0.250 0.250
10 Rh 0.250 0.750 0.750
11 Rh 0.750 0.250 0.750
12 Rh 0.750 0.750 0.250
13 Au 0.250 0.250 0.750
14 Au 0.250 0.750 0.250
15 Au 0.750 0.250 0.250
16 Au 0.750 0.750 0.750

## Properties
final energy: -6.10 eV per atom
total moment: 17.9 μB/cell
energy of formation: 0.1168 eV per atom
crystal system: cubic



Q: What is the formula in the first record?
A: TbCe2Cd2Hg2



Q: Among the records above, which one has the highest total moment?
A: FeNiRhAu



Q: What is the final energy in the first record?
A: -2.89 eV per atom